Record 1
The following is a DFT calculation (PBE-GGA) of InBiSb2 after structural relaxation.

As for the crystal system: cubic. As for the raw total energy: -3.562 eV/atom. Its total magnetic moment is 0.00 μB per formula unit. The uncorrected formation energy is 154 meV per atom. Its density of states at the Fermi level is 2.69 states/eV per cell. The calculation puts the energy above the lowest structure with this stoichiometry at 122 meV/atom.

Lattice parameters (Å, degrees): 5.4278 5.4278 5.4278 60.00 60.00 60.00
Sites, in units of the cell vectors:
In1 0.0000 0.0000 0.0000
Bi1 0.5000 0.5000 0.5000
Sb1 0.2500 0.2500 0.2500
Sb2 0.7500 0.7500 0.7500

Record 2
The following is a DFT calculation (PBE-GGA) of In12Bi6Sb after structural relaxation.

As for the crystal system: trigonal. As for the raw total energy: -3.104 eV/atom. Its total magnetic moment is 0.00 μB per formula unit. The uncorrected formation energy is 68 meV per atom. Its density of states at the Fermi level is 9.87 states/eV per cell.

Lattice parameters (Å, degrees): 8.4183 8.4183 8.4183 89.67 89.67 89.67
Sites, in units of the cell vectors:
In1 0.1018 0.4777 0.1719
In2 0.1719 0.1018 0.4777
In3 0.2127 0.4854 0.5196
In4 0.4777 0.1719 0.1018
In5 0.4804 0.7873 0.5146
In6 0.4854 0.5196 0.2127
In7 0.5146 0.4804 0.7873
In8 0.5196 0.2127 0.4854
In9 0.5223 0.8281 0.8982
In10 0.7873 0.5146 0.4804
In11 0.8281 0.8982 0.5223
In12 0.8982 0.5223 0.8281
Bi1 0.1401 0.8084 0.7109
Bi2 0.1916 0.2891 0.8599
Bi3 0.2891 0.8599 0.1916
Bi4 0.7109 0.1401 0.8084
Bi5 0.8084 0.7109 0.1401
Bi6 0.8599 0.1916 0.2891
Sb1 0.0000 0.0000 0.0000

Record 3
The following is a DFT calculation (PBE-GGA) of InBi2Sb2 after structural relaxation.

As for the crystal system: tetragonal. As for the raw total energy: -3.549 eV/atom. Its total magnetic moment is 0.00 μB per formula unit. The uncorrected formation energy is 200 meV per atom. Its density of states at the Fermi level is 2.63 states/eV per cell. The calculation puts the energy above the lowest structure with this stoichiometry at 73 meV/atom.

Lattice parameters (Å, degrees): 8.5115 8.5115 8.5115 148.50 148.50 45.15
Sites, in units of the cell vectors:
In1 0.0000 0.0000 0.0000
Bi1 0.2500 0.7500 0.5000
Bi2 0.7500 0.2500 0.5000
Sb1 0.4053 0.4053 0.0000
Sb2 0.5947 0.5947 0.0000

Record 4
The following is a DFT calculation (PBE-GGA) of InSiBiSb2 after structural relaxation.

As for the crystal system: tetragonal. As for the raw total energy: -3.095 eV/atom. Its total magnetic moment is 0.00 μB per formula unit. The uncorrected formation energy is 962 meV per atom. Its density of states at the Fermi level is 3.32 states/eV per cell.

Lattice parameters (Å, degrees): 5.8734 5.8734 5.4457 90.00 90.00 90.00
Sites, in units of the cell vectors:
In1 0.0000 0.0000 0.0000
Si1 0.5000 0.5000 0.0000
Bi1 0.5000 0.5000 0.5000
Sb1 0.0000 0.5000 0.5000
Sb2 0.5000 0.0000 0.5000

Record 5
The following is a DFT calculation (PBE-GGA) of InSnBiSb after structural relaxation.

As for the crystal system: cubic. As for the raw total energy: -3.608 eV/atom. Its total magnetic moment is 0.00 μB per formula unit. The uncorrected formation energy is 78 meV per atom. Its density of states at the Fermi level is 1.89 states/eV per cell.

Lattice parameters (Å, degrees): 5.4323 5.4323 5.4323 60.00 60.00 60.00
Sites, in units of the cell vectors:
In1 0.0000 0.0000 0.0000
Sn1 0.5000 0.5000 0.5000
Bi1 0.7500 0.7500 0.7500
Sb1 0.2500 0.2500 0.2500

Record 6
The following is a DFT calculation (PBE-GGA) of Sr2In2BiSb2 after structural relaxation.

As for the crystal system: monoclinic. As for the raw total energy: -3.458 eV/atom. Its total magnetic moment is 0.00 μB per formula unit. The uncorrected formation energy is -463 meV per atom. Its density of states at the Fermi level is 2.79 states/eV per cell.

Lattice parameters (Å, degrees): 7.4177 7.4177 9.1896 114.05 114.05 35.37
Sites, in units of the cell vectors:
Sr1 0.0127 0.0127 0.2335
Sr2 0.9873 0.9873 0.7665
In1 0.2930 0.2930 0.1938
In2 0.7070 0.7070 0.8062
Bi1 0.5000 0.5000 0.5000
Sb1 0.3577 0.3577 0.9048
Sb2 0.6423 0.6423 0.0952

Record 7
The following is a DFT calculation (PBE-GGA) of Sr2In2Bi2Sb after structural relaxation.

As for the crystal system: triclinic. As for the raw total energy: -3.412 eV/atom. Its total magnetic moment is 0.00 μB per formula unit. The uncorrected formation energy is -451 meV per atom. Its density of states at the Fermi level is 3.37 states/eV per cell.

Lattice parameters (Å, degrees): 4.4166 6.9928 8.8315 109.65 90.09 108.07
Sites, in units of the cell vectors:
Sr1 0.0198 0.0374 0.2786
Sr2 0.9802 0.9626 0.7214
In1 0.2666 0.5343 0.8829
In2 0.7334 0.4657 0.1171
Bi1 0.2977 0.5975 0.4027
Bi2 0.7023 0.4025 0.5973
Sb1 0.5000 0.0000 0.0000

Record 8
The following is a DFT calculation (PBE-GGA) of InTcBi2Sb after structural relaxation.

As for the crystal system: tetragonal. As for the raw total energy: -3.586 eV/atom. Its total magnetic moment is 4.19 μB per formula unit. The uncorrected formation energy is 1412 meV per atom. Its density of states at the Fermi level is 3.97 states/eV per cell.

Lattice parameters (Å, degrees): 5.8828 5.8828 5.4986 90.00 90.00 90.00
Sites, in units of the cell vectors:
In1 0.0000 0.0000 0.0000
Tc1 0.5000 0.5000 0.0000
Bi1 0.0000 0.5000 0.5000
Bi2 0.5000 0.0000 0.5000
Sb1 0.0000 0.0000 0.5000

Record 9
The following is a DFT calculation (PBE-GGA) of InBiSbTe2 after structural relaxation.

As for the crystal system: tetragonal. As for the raw total energy: -2.930 eV/atom. Its total magnetic moment is 1.06 μB per formula unit. The uncorrected formation energy is 475 meV per atom. Its density of states at the Fermi level is 4.80 states/eV per cell. The calculation puts the energy above the lowest structure with this stoichiometry at 0 meV/atom.

Lattice parameters (Å, degrees): 6.0451 6.0451 5.8365 90.00 90.00 90.00
Sites, in units of the cell vectors:
In1 0.0000 0.0000 0.0000
Bi1 0.5000 0.5000 0.5000
Sb1 0.5000 0.5000 0.0000
Te1 0.0000 0.5000 0.5000
Te2 0.5000 0.0000 0.5000

Record 10
The following is a DFT calculation (PBE-GGA) of In2BiSbTe4 after structural relaxation.

As for the crystal system: monoclinic. As for the raw total energy: -3.474 eV/atom. Its total magnetic moment is 0.00 μB per formula unit. The uncorrected formation energy is -218 meV per atom. Its density of states at the Fermi level is 0.41 states/eV per cell.

Lattice parameters (Å, degrees): 7.8530 4.5325 8.0074 90.00 109.04 90.00
Sites, in units of the cell vectors:
In1 0.0000 0.0000 0.0000
In2 0.5000 0.5000 0.0000
Bi1 0.0000 0.5000 0.5000
Sb1 0.5000 0.0000 0.5000
Te1 0.2497 0.0000 0.7365
Te2 0.2601 0.5000 0.2664
Te3 0.7399 0.5000 0.7336
Te4 0.7503 0.0000 0.2635

Record 11
The following is a DFT calculation (PBE-GGA) of InBiSbTe2 after structural relaxation.

As for the crystal system: tetragonal. As for the raw total energy: -2.869 eV/atom. Its total magnetic moment is 0.00 μB per formula unit. The uncorrected formation energy is 536 meV per atom. Its density of states at the Fermi level is 5.00 states/eV per cell. The calculation puts the energy above the lowest structure with this stoichiometry at 61 meV/atom.

Lattice parameters (Å, degrees): 5.6084 5.6084 5.6207 90.00 90.00 90.00
Sites, in units of the cell vectors:
In1 0.0000 0.0000 0.0000
Bi1 0.5000 0.5000 0.5000
Sb1 0.0000 0.0000 0.5000
Te1 0.0000 0.5000 0.0000
Te2 0.5000 0.0000 0.0000

Record 12
The following is a DFT calculation (PBE-GGA) of Th4InBiSb2 after structural relaxation.

As for the crystal system: monoclinic. As for the raw total energy: -6.175 eV/atom. Its total magnetic moment is 0.00 μB per formula unit. The uncorrected formation energy is -607 meV per atom. Its density of states at the Fermi level is 5.66 states/eV per cell.

Lattice parameters (Å, degrees): 7.8380 4.5435 7.8753 90.00 109.48 90.00
Sites, in units of the cell vectors:
Th1 0.2451 0.0000 0.2423
Th2 0.2498 0.5000 0.7549
Th3 0.7502 0.5000 0.2451
Th4 0.7549 0.0000 0.7577
In1 0.5000 0.0000 0.0000
Bi1 0.5000 0.5000 0.5000
Sb1 0.0000 0.0000 0.5000
Sb2 0.0000 0.5000 0.0000